Run one
PbSe2O6: relaxed, GGA-PBE.

Lattice parameters (Å, degrees): 7.017 7.509 7.509 82.62 70.22 70.22
Fractional coordinates of all 18 atoms:
Pb (0.250, 0.122, 0.878)
Pb (0.750, 0.878, 0.122)
Se (0.272, 0.634, 0.751)
Se (0.228, 0.249, 0.366)
Se (0.728, 0.366, 0.249)
Se (0.772, 0.751, 0.634)
O (0.516, 0.666, 0.615)
O (0.984, 0.385, 0.334)
O (0.484, 0.334, 0.385)
O (0.016, 0.615, 0.666)
O (0.818, 0.875, 0.431)
O (0.682, 0.569, 0.125)
O (0.182, 0.125, 0.569)
O (0.318, 0.431, 0.875)
O (0.145, 0.813, 0.910)
O (0.355, 0.090, 0.187)
O (0.855, 0.187, 0.090)
O (0.645, 0.910, 0.813)

***

Run two
PbSe2O6: relaxed, GGA-PBE.

Lattice parameters (Å, degrees): 6.899 6.348 6.899 79.74 97.39 79.74
Fractional coordinates of all 18 atoms:
Pb (0.914, 0.750, 0.086)
Pb (0.086, 0.250, 0.914)
Se (0.448, 0.730, 0.214)
Se (0.786, 0.770, 0.552)
Se (0.552, 0.270, 0.786)
Se (0.214, 0.230, 0.448)
O (0.288, 0.451, 0.509)
O (0.491, 0.049, 0.712)
O (0.712, 0.549, 0.491)
O (0.509, 0.951, 0.288)
O (0.045, 0.179, 0.611)
O (0.389, 0.321, 0.955)
O (0.955, 0.821, 0.389)
O (0.611, 0.679, 0.045)
O (0.198, 0.884, 0.050)
O (0.950, 0.616, 0.802)
O (0.802, 0.116, 0.950)
O (0.050, 0.384, 0.198)

***

Run three
PbSe2O6: relaxed, GGA-PBE.

Lattice parameters (Å, degrees): 8.997 5.004 7.309 70.74 90.00 90.00
Fractional coordinates of all 18 atoms:
O (0.654, 0.064, 0.719)
O (0.154, 0.436, 0.781)
O (0.346, 0.936, 0.281)
O (0.846, 0.564, 0.219)
O (0.434, 0.646, 0.761)
O (0.934, 0.854, 0.739)
O (0.566, 0.354, 0.239)
O (0.066, 0.146, 0.261)
O (0.339, 0.280, 0.577)
O (0.839, 0.220, 0.923)
O (0.661, 0.720, 0.423)
O (0.161, 0.780, 0.077)
Pb (0.500, 0.000, 0.500)
Pb (0.000, 0.500, 0.000)
Se (0.839, 0.169, 0.698)
Se (0.339, 0.331, 0.802)
Se (0.161, 0.831, 0.302)
Se (0.661, 0.669, 0.198)

***

Last place for stability: run two

***

Run one
Si2PbO: relaxed, GGA-PBE.

Lattice parameters (Å, degrees): 4.607 4.607 4.607 60.00 60.00 60.00
Fractional coordinates of all 4 atoms:
Pb (0.500, 0.500, 0.500)
Si (0.250, 0.250, 0.250)
Si (0.750, 0.750, 0.750)
O (0.000, 0.000, 0.000)

***

Run two
Si2PbO: relaxed, GGA-PBE.

Lattice parameters (Å, degrees): 4.902 4.902 7.231 70.19 70.19 90.00
Fractional coordinates of all 8 atoms:
Pb (0.000, 0.000, 0.000)
Pb (0.750, 0.250, 0.500)
Si (0.439, 0.125, 0.250)
Si (0.311, 0.625, 0.250)
Si (0.375, 0.561, 0.750)
Si (0.875, 0.689, 0.750)
O (0.500, 0.500, 0.000)
O (0.250, 0.750, 0.500)

***

Last place for stability: run one

***

Run one
Sm2PbO: relaxed, GGA-PBE.

Lattice parameters (Å, degrees): 3.247 3.247 7.996 90.00 90.00 90.00
Fractional coordinates of all 4 atoms:
Pb (0.500, 0.500, 0.500)
O (0.500, 0.500, 0.000)
Sm (0.000, 0.000, 0.805)
Sm (0.000, 0.000, 0.195)

***

Run two
Sm2PbO: relaxed, GGA-PBE.

Lattice parameters (Å, degrees): 4.580 7.011 11.931 90.00 90.00 90.00
Fractional coordinates of all 16 atoms:
Sm (0.750, 0.157, 0.450)
Sm (0.250, 0.843, 0.550)
Sm (0.750, 0.657, 0.050)
Sm (0.250, 0.343, 0.950)
Sm (0.750, 0.110, 0.758)
Sm (0.250, 0.390, 0.258)
Sm (0.750, 0.610, 0.742)
Sm (0.250, 0.890, 0.242)
Pb (0.750, 0.136, 0.129)
Pb (0.250, 0.864, 0.871)
Pb (0.750, 0.636, 0.371)
Pb (0.250, 0.364, 0.629)
O (0.250, 0.583, 0.101)
O (0.250, 0.083, 0.399)
O (0.750, 0.417, 0.899)
O (0.750, 0.917, 0.601)

***

Run three
Sm2PbO: relaxed, GGA-PBE.

Lattice parameters (Å, degrees): 4.633 4.633 9.113 90.01 90.01 90.00
Fractional coordinates of all 8 atoms:
Sm (0.750, 0.750, 0.832)
Sm (0.750, 0.250, 0.500)
Sm (0.250, 0.250, 0.168)
Sm (0.250, 0.750, 0.500)
Pb (0.250, 0.250, 0.801)
Pb (0.750, 0.750, 0.199)
O (0.250, 0.250, 0.425)
O (0.750, 0.750, 0.575)

***

Run four
Sm2PbO: relaxed, GGA-PBE.

Lattice parameters (Å, degrees): 3.670 3.670 8.125 76.95 76.95 60.00
Fractional coordinates of all 4 atoms:
Pb (0.500, 0.500, 0.500)
O (0.000, 0.000, 0.000)
Sm (0.277, 0.277, 0.169)
Sm (0.723, 0.723, 0.831)

***

Last place for stability: run one

***

Run one
Sm2Pb2O7: relaxed, GGA-PBE.

Lattice parameters (Å, degrees): 7.072 7.447 12.984 77.23 90.00 90.00
Fractional coordinates of all 44 atoms:
Sm (0.907, 0.533, 0.649)
Sm (0.407, 0.467, 0.851)
Sm (0.686, 0.712, 0.390)
Sm (0.186, 0.288, 0.110)
Sm (0.814, 0.712, 0.890)
Sm (0.314, 0.288, 0.610)
Sm (0.593, 0.533, 0.149)
Sm (0.093, 0.467, 0.351)
Pb (0.913, 0.201, 0.894)
Pb (0.413, 0.799, 0.606)
Pb (0.114, 0.941, 0.390)
Pb (0.614, 0.059, 0.110)
Pb (0.386, 0.941, 0.890)
Pb (0.886, 0.059, 0.610)
Pb (0.587, 0.201, 0.394)
Pb (0.087, 0.799, 0.106)
O (0.686, 0.996, 0.936)
O (0.243, 0.548, 0.673)
O (0.113, 0.399, 0.929)
O (0.029, 0.784, 0.270)
O (0.613, 0.801, 0.212)
O (0.613, 0.601, 0.571)
O (0.003, 0.675, 0.470)
O (0.743, 0.452, 0.827)
O (0.421, 0.898, 0.421)
O (0.471, 0.784, 0.770)
O (0.186, 0.004, 0.564)
O (0.887, 0.801, 0.712)
O (0.921, 0.102, 0.079)
O (0.497, 0.675, 0.970)
O (0.503, 0.325, 0.030)
O (0.079, 0.898, 0.921)
O (0.113, 0.199, 0.288)
O (0.814, 0.996, 0.436)
O (0.529, 0.216, 0.230)
O (0.579, 0.102, 0.579)
O (0.257, 0.548, 0.173)
O (0.997, 0.325, 0.530)
O (0.387, 0.399, 0.429)
O (0.387, 0.199, 0.788)
O (0.971, 0.216, 0.730)
O (0.887, 0.601, 0.071)
O (0.757, 0.452, 0.327)
O (0.314, 0.004, 0.064)

***

Run two
Sm2Pb2O7: relaxed, GGA-PBE.

Lattice parameters (Å, degrees): 7.715 7.715 7.715 60.00 60.00 60.00
Fractional coordinates of all 22 atoms:
Sm (0.625, 0.625, 0.625)
Sm (0.625, 0.625, 0.125)
Sm (0.625, 0.125, 0.625)
Sm (0.125, 0.625, 0.625)
Pb (0.625, 0.125, 0.125)
Pb (0.125, 0.625, 0.125)
Pb (0.125, 0.125, 0.625)
Pb (0.125, 0.125, 0.125)
O (0.221, 0.221, 0.779)
O (0.221, 0.779, 0.221)
O (0.471, 0.029, 0.471)
O (0.471, 0.471, 0.029)
O (0.750, 0.750, 0.750)
O (0.779, 0.221, 0.221)
O (0.471, 0.029, 0.029)
O (0.029, 0.471, 0.471)
O (0.029, 0.029, 0.471)
O (0.029, 0.471, 0.029)
O (0.221, 0.779, 0.779)
O (0.500, 0.500, 0.500)
O (0.779, 0.221, 0.779)
O (0.779, 0.779, 0.221)

***

Last place for stability: run one

***

Run one
Sn3PbO: relaxed, GGA-PBE.

Lattice parameters (Å, degrees): 4.974 4.974 4.974 90.00 90.00 90.00
Fractional coordinates of all 5 atoms:
Pb (0.500, 0.500, 0.500)
Sn (0.000, 0.500, 0.000)
Sn (0.000, 0.000, 0.500)
Sn (0.500, 0.000, 0.000)
O (0.000, 0.000, 0.000)

***

Run two
Sn3PbO: relaxed, GGA-PBE.

Lattice parameters (Å, degrees): 5.854 5.854 5.854 90.00 90.00 90.00
Each line ends with the local moment (μB).
Fractional coordinates of all 5 atoms:
Pb (0.000, 0.000, 0.000)  0.01
Sn (0.000, 0.500, 0.000)  0.01
Sn (0.000, 0.000, 0.500)  -0.01
Sn (0.500, 0.000, 0.000)  -0.01
O (0.500, 0.500, 0.500)  1.03

***

Last place for stability: run two

***

Run one
SnPbO2: relaxed, GGA-PBE.

Lattice parameters (Å, degrees): 3.177 3.177 6.353 90.00 90.00 90.00
Fractional coordinates of all 4 atoms:
Pb (0.500, 0.500, 0.500)
Sn (0.500, 0.500, 0.000)
O (0.000, 0.000, 0.755)
O (0.000, 0.000, 0.245)

***

Run two
SnPbO2: relaxed, GGA-PBE.

Lattice parameters (Å, degrees): 7.550 7.550 7.550 25.77 25.77 25.77
Fractional coordinates of all 4 atoms:
Pb (0.000, 0.000, 0.000)
Sn (0.500, 0.500, 0.500)
O (0.881, 0.881, 0.881)
O (0.119, 0.119, 0.119)

***

Run three
SnPbO2: relaxed, GGA-PBE.

Lattice parameters (Å, degrees): 3.945 3.945 5.200 89.98 90.01 90.00
Fractional coordinates of all 4 atoms:
Sn (0.689, 0.435, 0.289)
Pb (0.189, 0.935, 0.745)
O (0.689, 0.935, 0.493)
O (0.189, 0.435, 0.493)

***

Last place for stability: run one

***

Run one
SnPbO2: relaxed, GGA-PBE.

Lattice parameters (Å, degrees): 4.493 4.493 4.493 60.00 60.00 60.00
Fractional coordinates of all 4 atoms:
Pb (0.500, 0.500, 0.500)
Sn (0.000, 0.000, 0.000)
O (0.250, 0.250, 0.250)
O (0.750, 0.750, 0.750)

***

Run two
SnPbO2: relaxed, GGA-PBE.

Lattice parameters (Å, degrees): 5.614 5.614 6.673 65.12 65.12 90.00
Fractional coordinates of all 8 atoms:
Pb (0.000, 0.000, 0.000)
Pb (0.750, 0.250, 0.500)
Sn (0.500, 0.500, 0.000)
Sn (0.250, 0.750, 0.500)
O (0.585, 0.125, 0.250)
O (0.165, 0.625, 0.250)
O (0.375, 0.415, 0.750)
O (0.875, 0.835, 0.750)

***

Last place for stability: run one